No. 1
Material: Na2OsCl7
Method: DFT, PBE
State: optimized geometry Values from VASP.

Space group ... C2/c (15)

Geometry as Quantum ESPRESSO input:
```
&SYSTEM
  ibrav = 0, nat = 20, ntyp = 3
/
ATOMIC_SPECIES
Na 22.99 Na.upf
Os 190.23 Os.upf
Cl 35.45 Cl.upf
CELL_PARAMETERS angstrom
7.432 -3.738 0.000
7.432 3.738 0.000
-6.552 0.000 10.233
ATOMIC_POSITIONS crystal
Na 0.162 0.693 0.994
Na 0.307 0.838 0.506
Na 0.693 0.162 0.494
Na 0.838 0.307 0.006
Os 0.183 0.817 0.750
Os 0.817 0.183 0.250
Cl 0.049 0.738 0.519
Cl 0.065 0.256 0.263
Cl 0.144 0.856 0.250
Cl 0.256 0.065 0.763
Cl 0.262 0.951 0.981
Cl 0.385 0.491 0.809
Cl 0.491 0.385 0.309
Cl 0.509 0.615 0.691
Cl 0.615 0.509 0.191
Cl 0.738 0.049 0.019
Cl 0.744 0.935 0.237
Cl 0.856 0.144 0.750
Cl 0.935 0.744 0.737
Cl 0.951 0.262 0.481
```

***

No. 2
Material: Na3OsCl
Method: DFT, PBE
State: optimized geometry Values from VASP.

Energy relative to the lowest polymorph listed for this composition ... 0.2299 eV/atom
Space group ... Pm-3m (221)

Geometry as Quantum ESPRESSO input:
```
&SYSTEM
  ibrav = 0, nat = 5, ntyp = 3
/
ATOMIC_SPECIES
Na 22.99 Na.upf
Os 190.23 Os.upf
Cl 35.45 Cl.upf
CELL_PARAMETERS angstrom
5.694 0.000 0.000
0.000 5.694 0.000
0.000 0.000 5.694
ATOMIC_POSITIONS crystal
Na 0.000 0.000 0.500
Na 0.000 0.500 0.000
Na 0.500 0.000 0.000
Os 0.000 0.000 0.000
Cl 0.500 0.500 0.500
```

***

| no. | E_form (uncorrected) (eV per atom) | calculated total energy (Ry/atom) | total magnetic moment (μB per cell) |
| --- | --- | --- | --- |
| 1 | -0.78 | -0.254 | 2.08 |
| 2 | 0.75 | -0.195 | 2.01 |